This record from the Alexandria database describes a relaxed DyPuCo crystal. The functional is GGA-PBE.

The calculation puts the total moment at 22.89 μB/cell. As for the crystal system: cubic. As for the density of states at the Fermi level: 3.115 states/eV per atom.

Cell lengths 6.5782, 6.5782, 6.5782 Å; angles 90.00, 90.00, 90.00 degrees
Element x y z (fractional)
Dy1 0.0000 0.0000 0.0000
Dy2 0.0000 0.5000 0.5000
Dy3 0.5000 0.0000 0.5000
Dy4 0.5000 0.5000 0.0000
Pu1 0.0000 0.0000 0.5000
Pu2 0.0000 0.5000 0.0000
Pu3 0.5000 0.0000 0.0000
Pu4 0.5000 0.5000 0.5000
Co1 0.2500 0.2500 0.7500
Co2 0.2500 0.7500 0.2500
Co3 0.7500 0.2500 0.2500
Co4 0.7500 0.7500 0.7500


This record from the Alexandria database describes a relaxed KGa6 crystal. The functional is GGA-PBE.

The calculation puts the total moment at 0.00 μB/cell. As for the crystal system: tetragonal. As for the density of states at the Fermi level: 0.250 states/eV per atom.

Cell lengths 6.1963, 6.1963, 8.0890 Å; angles 90.00, 90.00, 90.00 degrees
Element x y z (fractional)
K1 0.2500 0.7500 0.0000
K2 0.7500 0.2500 0.0000
Ga1 0.0015 0.5015 0.3455
Ga2 0.0015 0.9985 0.6545
Ga3 0.2500 0.2500 0.1636
Ga4 0.2500 0.2500 0.8364
Ga5 0.4985 0.5015 0.6545
Ga6 0.4985 0.9985 0.3455
Ga7 0.5015 0.0015 0.6545
Ga8 0.5015 0.4985 0.3455
Ga9 0.7500 0.7500 0.1636
Ga10 0.7500 0.7500 0.8364
Ga11 0.9985 0.0015 0.3455
Ga12 0.9985 0.4985 0.6545


Record-wise DFT formation energy values, in meV/atom: 117, -86